P) A relaxed structure of SrYIr2, computed with PBE.

Computed properties:
Magnetization in μB per formula unit: 0.000
SG: Imm2 (44)
Fermi-level density of states in states/eV/f.u.: 2.034

Cell lengths 3.1487, 4.9329, 11.4304 Å; angles 90.00, 90.00, 90.00 degrees
Last column: nearest neighbours and their distance in Å.
Sites, in units of the cell vectors:
Sr  0.0000  0.0000  0.0000  4 Ir 2.97, 2 Sr 3.15
Sr  0.5000  0.5000  0.5000  4 Ir 2.97, 2 Sr 3.15
Y  0.0000  0.5000  0.8008  6 Ir 3.04-3.21, 2 Y 3.15, 2 Sr 3.36
Y  0.5000  0.0000  0.3008  6 Ir 3.04-3.21, 2 Y 3.15, 2 Sr 3.36
Ir  0.0000  0.0000  0.5454  2 Ir 2.63
Ir  0.0000  0.5000  0.2297  2 Ir 2.63
Ir  0.5000  0.0000  0.7297  2 Ir 2.63
Ir  0.5000  0.5000  0.0454  2 Ir 2.63

Q) A relaxed structure of SrYIr2, computed with PBE.

Computed properties:
Magnetization in μB per formula unit: 0.000
SG: I-4m2 (119)
Fermi-level density of states in states/eV/f.u.: 4.486

Cell lengths 4.1916, 4.1916, 9.7772 Å; angles 90.00, 90.00, 90.00 degrees
Last column: nearest neighbours and their distance in Å.
Sites, in units of the cell vectors:
Sr  0.0000  0.0000  0.0000  8 Ir 2.96-3.22, 4 Y 3.22
Sr  0.5000  0.5000  0.5000  8 Ir 2.96-3.22, 4 Y 3.22
Y  0.0000  0.5000  0.7500  8 Ir 2.96-3.22, 4 Sr 3.22
Y  0.5000  0.0000  0.2500  8 Ir 2.96-3.22, 4 Sr 3.22
Ir  0.0000  0.0000  0.5000  4 Sr 2.96, 4 Ir 3.22, 4 Y 3.22
Ir  0.0000  0.5000  0.2500  4 Y 2.96, 4 Sr 3.22, 4 Ir 3.22
Ir  0.5000  0.0000  0.7500  4 Y 2.96, 4 Ir 3.22, 4 Sr 3.22
Ir  0.5000  0.5000  0.0000  4 Sr 2.96, 4 Ir 3.22, 4 Y 3.22

Most stable one: P), least stable one: Q).

P) A relaxed structure of Sr3YIr, computed with PBE.

Computed properties:
Magnetization in μB per formula unit: 0.000
SG: Pm-3m (221)
Fermi-level density of states in states/eV/f.u.: 5.302

Cell lengths 5.8504, 5.8504, 5.8504 Å; angles 90.00, 90.00, 90.00 degrees
Last column: nearest neighbours and their distance in Å.
Sites, in units of the cell vectors:
Sr  0.0000  0.0000  0.5000  2 Ir 2.93
Sr  0.0000  0.5000  0.0000  2 Ir 2.93
Sr  0.5000  0.0000  0.0000  2 Ir 2.93
Y  0.5000  0.5000  0.5000  12 Sr 4.14
Ir  0.0000  0.0000  0.0000  6 Sr 2.93

Q) A relaxed structure of Sr3YIr, computed with PBE.

Computed properties:
Magnetization in μB per formula unit: 4.179
SG: Pm-3m (221)
Fermi-level density of states in states/eV/f.u.: 3.764

Cell lengths 5.9978, 5.9978, 5.9978 Å; angles 90.00, 90.00, 90.00 degrees
Last column: nearest neighbours and their distance in Å.
Sites, in units of the cell vectors:
Sr  0.0000  0.0000  0.5000  2 Y 3.00
Sr  0.0000  0.5000  0.0000  2 Y 3.00
Sr  0.5000  0.0000  0.0000  2 Y 3.00
Y  0.0000  0.0000  0.0000  6 Sr 3.00
Ir  0.5000  0.5000  0.5000  12 Sr 4.24

Most stable one: P), least stable one: Q).

P) A relaxed structure of SrY2Ir2, computed with PBE.

Computed properties:
Magnetization in μB per formula unit: 0.000
SG: P4/mbm (127)
Fermi-level density of states in states/eV/f.u.: 3.535

Cell lengths 8.1779, 8.1779, 3.6021 Å; angles 90.00, 90.00, 90.00 degrees
Last column: nearest neighbours and their distance in Å.
Sites, in units of the cell vectors:
Sr  0.0000  0.0000  0.0000  4 Ir 3.14
Sr  0.5000  0.5000  0.0000  4 Ir 3.14
Y  0.1453  0.3547  0.5000  6 Ir 2.97-3.04
Y  0.3547  0.8547  0.5000  6 Ir 2.97-3.04
Y  0.6453  0.1453  0.5000  6 Ir 2.97-3.04
Y  0.8547  0.6453  0.5000  6 Ir 2.97-3.04
Ir  0.1434  0.6434  0.0000  6 Y 2.97-3.04, 2 Sr 3.14, 1 Ir 3.32
Ir  0.3566  0.1434  0.0000  6 Y 2.97-3.04, 2 Sr 3.14, 1 Ir 3.32
Ir  0.6434  0.8566  0.0000  6 Y 2.97-3.04, 2 Sr 3.14, 1 Ir 3.32
Ir  0.8566  0.3566  0.0000  6 Y 2.97-3.04, 2 Sr 3.14, 1 Ir 3.32

Q) A relaxed structure of SrY2Ir2, computed with PBE.

Computed properties:
Magnetization in μB per formula unit: 0.000
SG: I4/mmm (139)
Fermi-level density of states in states/eV/f.u.: 0.228

Cell lengths 4.6823, 4.6823, 11.9150 Å; angles 90.00, 90.00, 90.00 degrees
Last column: nearest neighbours and their distance in Å.
Sites, in units of the cell vectors:
Sr  0.0000  0.0000  0.0000  8 Ir 3.55, 8 Y 3.79
Sr  0.5000  0.5000  0.5000  8 Ir 3.55, 8 Y 3.79
Y  0.0000  0.5000  0.2500  4 Ir 2.89
Y  0.0000  0.5000  0.7500  4 Ir 2.89
Y  0.5000  0.0000  0.2500  4 Ir 2.89
Y  0.5000  0.0000  0.7500  4 Ir 2.89
Ir  0.0000  0.0000  0.3920  1 Ir 2.57
Ir  0.0000  0.0000  0.6080  1 Ir 2.57
Ir  0.5000  0.5000  0.1080  1 Ir 2.57
Ir  0.5000  0.5000  0.8920  1 Ir 2.57

R) A relaxed structure of SrY2Ir2, computed with PBE.

Computed properties:
Magnetization in μB per formula unit: 0.000
SG: I4/mmm (139)
Fermi-level density of states in states/eV/f.u.: 2.005

Cell lengths 5.1335, 5.1335, 10.8859 Å; angles 90.00, 90.00, 90.00 degrees
Last column: nearest neighbours and their distance in Å.
Sites, in units of the cell vectors:
Sr  0.0000  0.0000  0.0000  10 Y 3.65-4.05, 8 Ir 3.74
Sr  0.5000  0.5000  0.5000  10 Y 3.65-4.05, 8 Ir 3.74
Y  0.0000  0.0000  0.3352  4 Ir 2.73
Y  0.0000  0.0000  0.6648  4 Ir 2.73
Y  0.5000  0.5000  0.1648  4 Ir 2.73
Y  0.5000  0.5000  0.8352  4 Ir 2.73
Ir  0.0000  0.5000  0.2500  4 Y 2.73
Ir  0.0000  0.5000  0.7500  4 Y 2.73
Ir  0.5000  0.0000  0.2500  4 Y 2.73
Ir  0.5000  0.0000  0.7500  4 Y 2.73

Most stable one: Q), least stable one: R).

P) A relaxed structure of SrYZnIr2, computed with PBE.

Computed properties:
Magnetization in μB per formula unit: 0.000
SG: P4/mmm (123)
Fermi-level density of states in states/eV/f.u.: 2.664

Cell lengths 4.8398, 4.8398, 4.9346 Å; angles 90.00, 90.00, 90.00 degrees
Last column: nearest neighbours and their distance in Å.
Sites, in units of the cell vectors:
Sr  0.0000  0.0000  0.0000  4 Y 3.42, 8 Ir 3.46
Y  0.5000  0.5000  0.0000  2 Zn 2.47
Zn  0.5000  0.5000  0.5000  4 Ir 2.42, 2 Y 2.47
Ir  0.0000  0.5000  0.5000  2 Zn 2.42
Ir  0.5000  0.0000  0.5000  2 Zn 2.42

Q) A relaxed structure of SrYZnIr2, computed with PBE.

Computed properties:
Magnetization in μB per formula unit: 0.000
SG: P4/mmm (123)
Fermi-level density of states in states/eV/f.u.: 2.260

Cell lengths 4.8146, 4.8146, 4.9186 Å; angles 90.00, 90.00, 90.00 degrees
Last column: nearest neighbours and their distance in Å.
Sites, in units of the cell vectors:
Sr  0.0000  0.0000  0.0000  2 Zn 2.46
Y  0.5000  0.5000  0.0000  4 Sr 3.40, 8 Ir 3.44
Zn  0.0000  0.0000  0.5000  4 Ir 2.41, 2 Sr 2.46
Ir  0.0000  0.5000  0.5000  2 Zn 2.41
Ir  0.5000  0.0000  0.5000  2 Zn 2.41

Most stable one: P), least stable one: Q).

P) A relaxed structure of Sr3ZnIr, computed with PBE.

Computed properties:
Magnetization in μB per formula unit: 0.000
SG: Pm-3m (221)
Fermi-level density of states in states/eV/f.u.: 2.067

Cell lengths 5.8017, 5.8017, 5.8017 Å; angles 90.00, 90.00, 90.00 degrees
Last column: nearest neighbours and their distance in Å.
Sites, in units of the cell vectors:
Sr  0.0000  0.0000  0.5000  2 Ir 2.90
Sr  0.0000  0.5000  0.0000  2 Ir 2.90
Sr  0.5000  0.0000  0.0000  2 Ir 2.90
Zn  0.5000  0.5000  0.5000  12 Sr 4.10
Ir  0.0000  0.0000  0.0000  6 Sr 2.90

Q) A relaxed structure of Sr3ZnIr, computed with PBE.

Computed properties:
Magnetization in μB per formula unit: 0.000
SG: P2_1/m (11)
Fermi-level density of states in states/eV/f.u.: 2.807

Cell lengths 7.1210, 4.5650, 9.9723 Å; angles 90.00, 90.05, 90.00 degrees
Last column: nearest neighbours and their distance in Å.
Sites, in units of the cell vectors:
Sr  0.2065  0.2500  0.0580  3 Ir 3.19-3.57, 2 Zn 3.28
Sr  0.2066  0.2500  0.4422  3 Ir 3.19-3.57, 2 Zn 3.28
Sr  0.2524  0.7500  0.7501  2 Ir 3.13, 2 Zn 3.36
Sr  0.7476  0.2500  0.2499  2 Ir 3.13, 2 Zn 3.36
Sr  0.7934  0.7500  0.5578  3 Ir 3.19-3.57, 2 Zn 3.28
Sr  0.7935  0.7500  0.9420  3 Ir 3.19-3.57, 2 Zn 3.28
Zn  0.4004  0.7500  0.2502  1 Ir 2.51
Zn  0.5996  0.2500  0.7498  1 Ir 2.51
Ir  0.0481  0.7500  0.2500  1 Zn 2.51
Ir  0.9519  0.2500  0.7500  1 Zn 2.51

Most stable one: Q), least stable one: P).

P) A relaxed structure of Sr2Zn3Ir, computed with PBE.

Computed properties:
Magnetization in μB per formula unit: 0.000
SG: Fmmm (69)
Fermi-level density of states in states/eV/f.u.: 3.709

Cell lengths 8.7829, 8.7247, 6.2586 Å; angles 69.55, 68.56, 41.89 degrees
Last column: nearest neighbours and their distance in Å.
Sites, in units of the cell vectors:
Sr  0.2415  0.7585  0.7585  2 Ir 3.22, 10 Zn 3.33-3.46
Sr  0.2500  0.2500  0.2500  8 Zn 3.31-3.34, 4 Ir 3.41
Sr  0.7500  0.7500  0.7500  8 Zn 3.31-3.34, 4 Ir 3.41
Sr  0.7585  0.2415  0.2415  2 Ir 3.22, 10 Zn 3.33-3.46
Zn  0.1625  0.6663  0.3337  1 Ir 2.50, 2 Zn 2.59-2.62
Zn  0.3267  0.3267  0.6733  1 Ir 2.51, 2 Zn 2.62
Zn  0.3337  0.8375  0.1625  1 Ir 2.50, 2 Zn 2.59-2.62
Zn  0.6663  0.1625  0.8375  1 Ir 2.50, 2 Zn 2.59-2.62
Zn  0.6733  0.6733  0.3267  1 Ir 2.51, 2 Zn 2.62
Zn  0.8375  0.3337  0.6663  1 Ir 2.50, 2 Zn 2.59-2.62
Ir  0.1607  0.1607  0.8393  3 Zn 2.50-2.51
Ir  0.8393  0.8393  0.1607  3 Zn 2.50-2.51

Q) A relaxed structure of Sr2Zn3Ir, computed with PBE.

Computed properties:
Magnetization in μB per formula unit: 0.000
SG: Immm (71)
Fermi-level density of states in states/eV/f.u.: 3.296

Cell lengths 4.6741, 5.3768, 11.5644 Å; angles 90.00, 90.00, 90.00 degrees
Last column: nearest neighbours and their distance in Å.
Sites, in units of the cell vectors:
Sr  0.0000  0.0000  0.2130  4 Zn 2.98-3.17, 1 Ir 3.32
Sr  0.0000  0.0000  0.7870  4 Zn 2.98-3.17, 1 Ir 3.32
Sr  0.5000  0.5000  0.2870  4 Zn 2.98-3.17, 1 Ir 3.32
Sr  0.5000  0.5000  0.7130  4 Zn 2.98-3.17, 1 Ir 3.32
Zn  0.0000  0.5000  0.1020  1 Zn 2.36, 2 Ir 2.62
Zn  0.0000  0.5000  0.5000  2 Ir 2.69
Zn  0.0000  0.5000  0.8980  1 Zn 2.36, 2 Ir 2.62
Zn  0.5000  0.0000  0.0000  2 Ir 2.69
Zn  0.5000  0.0000  0.3980  1 Zn 2.36, 2 Ir 2.62
Zn  0.5000  0.0000  0.6020  1 Zn 2.36, 2 Ir 2.62
Ir  0.0000  0.0000  0.5000  6 Zn 2.62-2.69
Ir  0.5000  0.5000  0.0000  6 Zn 2.62-2.69

Most stable one: P), least stable one: Q).